w.
First-principles (PBE-GGA) data for crystalline ThSb3 at its relaxed geometry, as listed in Alexandria.

Lattice parameters (Å, degrees): 4.797 4.757 4.810 90.00 90.00 90.00
Fractional positions:
Sb 0.000 0.000 0.083
Sb 0.500 0.500 0.083
Sb 0.000 0.500 0.583
Th 0.500 0.000 0.583

Volume = 27.44 Å³/atom
Space-group type = Pmmm (47)

***

x.
First-principles (PBE-GGA) data for crystalline ThSb3 at its relaxed geometry, as listed in Alexandria.

Lattice parameters (Å, degrees): 4.533 4.533 6.286 111.14 111.14 90.00
Fractional positions:
Sb 0.750 0.250 0.500
Sb 0.500 0.500 0.000
Sb 0.250 0.750 0.500
Th 0.000 0.000 0.000

Volume = 27.78 Å³/atom
Space-group type = I4/mmm (139)

***

Name the most stable of them. x.

***

w.
First-principles (PBE-GGA) data for crystalline ThTlSb2 at its relaxed geometry, as listed in Alexandria.

Lattice parameters (Å, degrees): 4.531 4.531 8.327 74.21 74.21 60.00
Fractional positions:
Sb 0.257 0.257 0.228
Sb 0.743 0.743 0.772
Tl 0.500 0.500 0.500
Th 0.000 0.000 0.000

Volume = 35.14 Å³/atom
Space-group type = R-3m (166)

***

x.
First-principles (PBE-GGA) data for crystalline ThTlSb2 at its relaxed geometry, as listed in Alexandria.

Lattice parameters (Å, degrees): 4.243 5.138 5.138 90.00 90.00 90.00
Fractional positions:
Tl 0.500 0.000 0.000
Sb 0.000 0.000 0.500
Sb 0.000 0.500 0.000
Th 0.500 0.500 0.500

Volume = 28.00 Å³/atom
Space-group type = P4/mmm (123)

***

Name the most stable of them. x.

***

w.
First-principles (PBE-GGA) data for crystalline ThTl2Sb at its relaxed geometry, as listed in Alexandria.

Lattice parameters (Å, degrees): 3.442 3.442 12.369 82.00 82.00 60.00
Fractional positions:
Sb 0.500 0.500 0.500
Th 0.000 0.000 0.000
Tl 0.909 0.909 0.272
Tl 0.091 0.091 0.728

Volume = 31.31 Å³/atom
Space-group type = R-3m (166)

***

x.
First-principles (PBE-GGA) data for crystalline ThTl2Sb at its relaxed geometry, as listed in Alexandria.

Lattice parameters (Å, degrees): 5.080 4.701 4.701 90.00 90.00 90.00
Fractional positions:
Sb 0.500 0.500 0.500
Tl 0.000 0.000 0.500
Tl 0.000 0.500 0.000
Th 0.500 0.000 0.000

Volume = 28.06 Å³/atom
Space-group type = P4/mmm (123)

***

Name the most stable of them. x.

***

w.
First-principles (PBE-GGA) data for crystalline Tm2ThSb at its relaxed geometry, as listed in Alexandria.

Lattice parameters (Å, degrees): 3.578 3.578 10.671 80.35 80.35 60.00
Fractional positions:
Sb 0.000 0.000 0.000
Tm 0.744 0.744 0.768
Tm 0.256 0.256 0.232
Th 0.500 0.500 0.500

Volume = 29.02 Å³/atom
Space-group type = R-3m (166)

***

x.
First-principles (PBE-GGA) data for crystalline Tm2ThSb at its relaxed geometry, as listed in Alexandria.

Lattice parameters (Å, degrees): 4.695 4.850 4.850 90.00 90.00 90.00
Fractional positions:
Tm 0.000 0.000 0.500
Tm 0.000 0.500 0.000
Sb 0.500 0.000 0.000
Th 0.500 0.500 0.500

Volume = 27.61 Å³/atom
Space-group type = P4/mmm (123)

***

Name the most stable of them. x.

***

w.
First-principles (PBE-GGA) data for crystalline Tm2ThSb at its relaxed geometry, as listed in Alexandria.

Lattice parameters (Å, degrees): 3.901 3.901 9.814 78.54 78.54 60.00
Each line ends with the local moment (μB).
Fractional positions:
Th 0.501 0.501 0.498  0.08
Sb 0.666 0.666 0.001  0.00
Tm 0.068 0.068 0.796  0.07
Tm 0.265 0.265 0.204  0.02

Volume = 31.48 Å³/atom
Space-group type = R3m (160)

***

x.
First-principles (PBE-GGA) data for crystalline Tm2ThSb at its relaxed geometry, as listed in Alexandria.

Lattice parameters (Å, degrees): 3.889 3.889 7.397 90.00 90.00 90.00
Fractional positions:
Sb 0.500 0.500 0.500
Th 0.500 0.500 0.000
Tm 0.000 0.000 0.719
Tm 0.000 0.000 0.281

Volume = 27.97 Å³/atom
Space-group type = P4/mmm (123)

***

Name the most stable of them. x.

***

w.
First-principles (PBE-GGA) data for crystalline TmThSb2 at its relaxed geometry, as listed in Alexandria.

Lattice parameters (Å, degrees): 4.435 4.435 7.612 73.06 73.06 60.00
Fractional positions:
Tm 0.000 0.000 0.000
Th 0.500 0.500 0.500
Sb 0.746 0.746 0.763
Sb 0.254 0.254 0.237

Volume = 30.53 Å³/atom
Space-group type = R-3m (166)

***

x.
First-principles (PBE-GGA) data for crystalline TmThSb2 at its relaxed geometry, as listed in Alexandria.

Lattice parameters (Å, degrees): 4.369 4.369 7.959 74.07 74.07 60.00
Fractional positions:
Th 0.669 0.669 0.992
Tm 0.497 0.497 0.510
Sb 0.086 0.086 0.741
Sb 0.248 0.248 0.257

Volume = 31.20 Å³/atom
Space-group type = R3m (160)

***

Name the most stable of them. w.